The following is a DFT calculation (PBE) of an optimized crystal structure of RbTcAu.

As for the space group: No. 216. The total magnetization is 4.57 μB/cell. The energy above the most stable polymorph in this dataset comes out at 2.295 eV per formula unit.

Lattice parameters (Å, degrees): 5.310 5.310 5.310 60.00 60.00 60.00
Element x y z (fractional)
Au: 0.250 0.250 0.250
Rb: 0.000 0.000 0.000
Tc: 0.750 0.750 0.750